[1]
DFT (PBE) results for an optimized crystal structure of Sr2Li3In4.

Raw total energy = -2.55 eV per atom
Magnetization = 0.00 μB per cell
Volume = 26.35 A^3/atom
Energy relative to the elements = -2.9 eV per formula unit

Cell lengths 9.193, 9.193, 8.755 Å; angles 90.00, 90.00, 140.12 degrees
Positions (direct):
Sr  0.103  0.897  0.898
Sr  0.397  0.603  0.398
Sr  0.603  0.397  0.602
Sr  0.897  0.103  0.102
Li  0.000  0.000  0.500
Li  0.014  0.486  0.750
Li  0.486  0.014  0.250
Li  0.500  0.500  0.000
Li  0.514  0.986  0.750
Li  0.986  0.514  0.250
In  0.177  0.823  0.505
In  0.178  0.322  0.750
In  0.322  0.178  0.250
In  0.323  0.677  0.005
In  0.677  0.323  0.995
In  0.678  0.822  0.750
In  0.822  0.678  0.250
In  0.823  0.177  0.495



[2]
DFT (PBE) results for an optimized crystal structure of SrLiIn2.

Raw total energy = -2.63 eV per atom
Magnetization = 0.00 μB per cell
Volume = 29.05 A^3/atom
Energy relative to the elements = -1.4 eV per formula unit

Cell lengths 6.484, 6.484, 6.484 Å; angles 43.28, 43.28, 43.28 degrees
Positions (direct):
Sr  0.000  0.000  0.000
Li  0.500  0.500  0.500
In  0.208  0.208  0.208
In  0.792  0.792  0.792



[3]
DFT (PBE) results for an optimized crystal structure of SrLiIn6.

Raw total energy = -2.70 eV per atom
Magnetization = 0.00 μB per cell
Volume = 27.02 A^3/atom
Energy relative to the elements = -1.6 eV per formula unit

Cell lengths 5.027, 7.521, 5.717 Å; angles 90.00, 90.00, 90.00 degrees
Positions (direct):
Sr  0.000  0.000  0.000
Li  0.500  0.500  0.327
In  0.000  0.284  0.499
In  0.000  0.500  0.019
In  0.000  0.716  0.499
In  0.500  0.000  0.433
In  0.500  0.289  0.846
In  0.500  0.711  0.846



[4]
DFT (PBE) results for an optimized crystal structure of Sr3Li3In2.

Raw total energy = -2.27 eV per atom
Magnetization = 0.00 μB per cell
Volume = 32.02 A^3/atom
Energy relative to the elements = -1.9 eV per formula unit

Cell lengths 9.008, 17.243, 6.598 Å; angles 90.00, 90.00, 90.00 degrees
Positions (direct):
Sr  0.034  0.103  0.130
Sr  0.034  0.397  0.130
Sr  0.164  0.250  0.643
Sr  0.336  0.750  0.143
Sr  0.466  0.603  0.630
Sr  0.466  0.897  0.630
Sr  0.534  0.103  0.370
Sr  0.534  0.397  0.370
Sr  0.664  0.250  0.857
Sr  0.836  0.750  0.357
Sr  0.966  0.603  0.870
Sr  0.966  0.897  0.870
Li  0.169  0.750  0.604
Li  0.170  0.036  0.602
Li  0.170  0.464  0.602
Li  0.330  0.536  0.102
Li  0.330  0.964  0.102
Li  0.331  0.250  0.104
Li  0.669  0.750  0.896
Li  0.670  0.036  0.898
Li  0.670  0.464  0.898
Li  0.830  0.536  0.398
Li  0.830  0.964  0.398
Li  0.831  0.250  0.396
In  0.121  0.603  0.369
In  0.121  0.897  0.369
In  0.379  0.103  0.869
In  0.379  0.397  0.869
In  0.621  0.603  0.131
In  0.621  0.897  0.131
In  0.879  0.103  0.631
In  0.879  0.397  0.631



Q: Look up the magnetization of the fourth one.
A: 0.00 μB per cell